No. 1
CdFePb2 | SCAN | PBEsol geometry

Values from the calculation:
raw total energy: -49.561 eV per atom
formation enthalpy at 0 K: 0.47 eV per atom
symmetry: Fm-3m, No. 225

a = 5.0346 Å, b = 5.0346 Å, c = 5.0346 Å
α = 60.00°, β = 60.00°, γ = 60.00°
With the nearest neighbours (Å) after each atom.
Atoms (fractional coordinates):
Cd: 0.0000 0.0000 0.0000  8 Pb 3.08
Pb: 0.2500 0.2500 0.2500  4 Cd 3.08, 4 Fe 3.08
Pb: 0.7500 0.7500 0.7500  4 Fe 3.08, 4 Cd 3.08
Fe: 0.5000 0.5000 0.5000  8 Pb 3.08

=====

No. 2
HfTaMn2Os | SCAN | PBEsol geometry

Values from the calculation:
raw total energy: -45.617 eV per atom
formation enthalpy at 0 K: 1.91 eV per atom
symmetry: P4/mmm, No. 123

a = 4.2948 Å, b = 4.2948 Å, c = 4.9184 Å
α = 90.00°, β = 90.00°, γ = 90.00°
With the nearest neighbours (Å) after each atom.
Atoms (fractional coordinates):
Mn: 0.5000 0.0000 0.0000  2 Hf 2.15
Mn: 0.0000 0.5000 0.0000  2 Hf 2.15
Ta: 0.0000 0.0000 0.5000  2 Hf 2.46
Hf: 0.0000 0.0000 0.0000  4 Mn 2.15
Os: 0.5000 0.5000 0.5000  4 Ta 3.04, 8 Mn 3.26

=====

No. 3
Li2TlHg | SCAN | PBEsol geometry

Values from the calculation:
raw total energy: -36.659 eV per atom
formation enthalpy at 0 K: -0.33 eV per atom
symmetry: Cm, No. 8

a = 3.6100 Å, b = 4.6216 Å, c = 5.2759 Å
α = 109.55°, β = 110.01°, γ = 90.00°
With the nearest neighbours (Å) after each atom.
Atoms (fractional coordinates):
Tl: 0.4972 0.4784 0.9945  7 Li 2.92-3.00, 4 Hg 3.07-3.24
Li: 0.9933 0.9742 0.9866  3 Hg 2.82-3.07, 4 Tl 2.93-2.94, 2 Li 3.01
Li: 0.7493 0.2647 0.4986  4 Hg 2.90-2.97, 3 Tl 2.92-3.00, 3 Li 3.01-3.16
Hg: 0.2601 0.7826 0.5203  7 Li 2.82-3.07, 3 Tl 3.07-3.14